# 1
DFT (PBEsol) results for an optimized crystal structure of Li3Pt.

Results
- mass density (Mg/m³) = 6.6
- formation enthalpy at 0 K (meV per atom) = -354
- DOS at the Fermi energy (states/eV per cell) = 2.76
- raw total energy (eV/cell) = -28.6
- ΔE to the lowest computed polymorph (meV per atom) = 0

Unit cell a=4.381 b=4.560 c=5.455 alpha=90.00 beta=90.00 gamma=90.00
Atoms (fractional coordinates):
Pt 0.500 0.309 0.500
Pt 0.000 0.691 0.000
Li 0.500 0.339 0.000
Li 0.000 0.187 0.751
Li 0.000 0.187 0.249
Li 0.500 0.813 0.749
Li 0.500 0.813 0.251
Li 0.000 0.661 0.500



# 2
DFT (PBEsol) results for an optimized crystal structure of Zr2Sc.

Results
- mass density (Mg/m³) = 5.6
- formation enthalpy at 0 K (meV per atom) = 25
- DOS at the Fermi energy (states/eV per cell) = 4.05
- raw total energy (eV/cell) = -24.7

Unit cell a=3.185 b=4.400 c=5.494 alpha=113.61 beta=106.85 gamma=90.00
Atoms (fractional coordinates):
Zr 0.669 0.669 0.338
Zr 0.331 0.331 0.662
Sc 0.000 0.000 0.000



# 3
DFT (PBEsol) results for an optimized crystal structure of YCoW2.

Results
- mass density (Mg/m³) = 13.1
- formation enthalpy at 0 K (meV per atom) = 656
- DOS at the Fermi energy (states/eV per cell) = 4.38
- raw total energy (eV/cell) = -39.5
- ΔE to the lowest computed polymorph (meV per atom) = 161

Unit cell a=2.814 b=2.814 c=9.676 alpha=81.64 beta=81.64 gamma=60.00
Each line ends with the local moment (μB).
Atoms (fractional coordinates):
Co 0.000 0.000 0.000  0.67
Y 0.500 0.500 0.500  0.01
W 0.737 0.737 0.789  -0.01
W 0.263 0.263 0.211  -0.01



# 4
DFT (PBEsol) results for an optimized crystal structure of Zr2Ge2Pt.

Results
- mass density (Mg/m³) = 10.0
- formation enthalpy at 0 K (meV per atom) = -903
- DOS at the Fermi energy (states/eV per cell) = 4.80
- raw total energy (eV/cell) = -79.1

Unit cell a=4.080 b=6.530 c=6.530 alpha=90.00 beta=90.00 gamma=90.00
Atoms (fractional coordinates):
Zr 0.500 0.328 0.172
Zr 0.500 0.828 0.328
Zr 0.500 0.672 0.828
Zr 0.500 0.172 0.672
Pt 0.000 0.000 0.000
Pt 0.000 0.500 0.500
Ge 0.000 0.634 0.134
Ge 0.000 0.366 0.866
Ge 0.000 0.866 0.634
Ge 0.000 0.134 0.366